Computed, not measured: PIrPbO after structural relaxation at the PBE-GGA level of DFT.

Excess energy over the best structure of this formula in the dataset (meV/atom): 1258
Calculated total energy (eV/atom): -5.21
Size of the total moment (μB/cell): 0.0

Lattice parameters (Å, degrees): 4.3560 4.3560 7.5952 90.00 90.00 90.00
Fractional positions:
P 0.0000 0.0000 0.7662
P 0.5000 0.5000 0.2338
O 0.0000 0.5000 0.0000
O 0.5000 0.0000 0.0000
Ir 0.5000 0.5000 0.9425
Ir 0.0000 0.0000 0.0575
Pb 0.0000 0.5000 0.5000
Pb 0.5000 0.0000 0.5000